Entry 1:
## Ta2TcB (PBE)

Data for a geometry-optimized Ta2TcB structure.

Cell: 7.590 7.590 4.408 Å, 90.00 90.00 90.00°
Space group I-42d (No. 122)
Symmetry-distinct sites (fractional):
Ta 0.131 0.250 0.125 (multiplicity 8)
Tc 0.000 0.000 0.500 (multiplicity 4)
B 0.000 0.000 0.000 (multiplicity 4)

DOS at the Fermi energy = 0.45 states/eV per atom
energy of formation from the pure elements = 211 meV per atom
crystal system = tetragonal

---

Entry 2:
## TaTcB3 (PBE)

Data for a geometry-optimized TaTcB3 structure.

Cell: 4.176 4.176 4.176 Å, 90.00 90.00 90.00°
Space group Pm-3m (No. 221)
Symmetry-distinct sites (fractional):
Ta 0.000 0.000 0.000 (multiplicity 1)
Tc 0.500 0.500 0.500 (multiplicity 1)
B 0.000 0.000 0.500 (multiplicity 3)

DOS at the Fermi energy = 0.46 states/eV per atom
offset from the most stable computed form = 2302 meV per atom
energy of formation from the pure elements = 1731 meV per atom
crystal system = cubic

---

Entry 3:
## TaTcB3 (PBE)

Data for a geometry-optimized TaTcB3 structure.

Cell: 3.948 3.948 3.948 Å, 90.00 90.00 90.00°
Space group Pm-3m (No. 221)
Symmetry-distinct sites (fractional):
Ta 0.000 0.000 0.000 (multiplicity 1)
Tc 0.500 0.500 0.500 (multiplicity 1)
B 0.000 0.500 0.500 (multiplicity 3)

DOS at the Fermi energy = 0.40 states/eV per atom
offset from the most stable computed form = 1577 meV per atom
energy of formation from the pure elements = 1005 meV per atom
crystal system = cubic

---

Entry 4:
## TaTcB4 (PBE)

Data for a geometry-optimized TaTcB4 structure.

Cell: 7.200 9.069 3.420 Å, 90.00 90.00 90.00°
Space group Cmmm (No. 65)
Symmetry-distinct sites (fractional):
Ta 0.000 0.197 0.000 (multiplicity 4)
Tc 0.190 0.500 0.000 (multiplicity 4)
B 0.000 0.402 0.500 (multiplicity 4)
B 0.116 0.000 0.500 (multiplicity 4)
B 0.224 0.339 0.500 (multiplicity 8)

DOS at the Fermi energy = 0.29 states/eV per atom
energy of formation from the pure elements = -294 meV per atom
crystal system = orthorhombic

---

no.,total moment (Bohr magnetons per cell)
1,0.00
2,2.88
3,0.00
4,0.00